1.
VASP calculation (GGA-PBE) on an optimized crystal structure of DyBeCo.

Structure (extended XYZ):
```
12
Lattice="5.848 0.000 0.000 0.000 5.848 0.000 0.000 0.000 5.848" Properties=species:S:1:pos:R:3 pbc="T T T"
Dy 0.000 0.000 0.000
Dy 0.000 2.924 2.924
Dy 2.924 0.000 2.924
Dy 2.924 2.924 0.000
Be 1.462 1.462 4.386
Be 1.462 4.386 1.462
Be 4.386 1.462 1.462
Be 4.386 4.386 4.386
Co 0.000 0.000 2.924
Co 0.000 2.924 0.000
Co 2.924 0.000 0.000
Co 2.924 2.924 2.924
```

2.
VASP calculation (GGA-PBE) on an optimized crystal structure of CsRbHf.

Structure (extended XYZ):
```
12
Lattice="9.258 0.000 0.000 0.000 9.258 0.000 0.000 0.000 9.258" Properties=species:S:1:pos:R:3 pbc="T T T"
Cs 0.000 0.000 0.000
Cs 0.000 4.629 4.629
Cs 4.629 0.000 4.629
Cs 4.629 4.629 0.000
Rb 0.000 0.000 4.629
Rb 0.000 4.629 0.000
Rb 4.629 0.000 0.000
Rb 4.629 4.629 4.629
Hf 2.314 2.314 2.314
Hf 2.314 6.943 6.943
Hf 6.943 2.314 6.943
Hf 6.943 6.943 2.314
```

Results
- E above lowest polymorph: 0.00 eV/f.u.

3.
VASP calculation (GGA-PBE) on an optimized crystal structure of BaPdPb.

Structure (extended XYZ):
```
12
Lattice="7.310 0.000 0.000 0.000 7.310 0.000 0.000 0.000 7.310" Properties=species:S:1:pos:R:3 pbc="T T T"
Ba 0.000 0.000 0.000
Ba 0.000 3.655 3.655
Ba 3.655 0.000 3.655
Ba 3.655 3.655 0.000
Pd 1.827 1.827 1.827
Pd 1.827 5.482 5.482
Pd 5.482 1.827 5.482
Pd 5.482 5.482 1.827
Pb 0.000 0.000 3.655
Pb 0.000 3.655 0.000
Pb 3.655 0.000 0.000
Pb 3.655 3.655 3.655
```

4.
VASP calculation (GGA-PBE) on an optimized crystal structure of Si2Ge2Os3.

Structure (extended XYZ):
```
7
Lattice="2.116 1.222 6.705 -2.116 1.222 6.705 0.000 -2.444 6.705" Properties=species:S:1:pos:R:3 pbc="T T T"
Si 0.000 0.000 0.000
Si 0.000 0.000 9.822
Ge 0.000 0.000 4.631
Ge 0.000 0.000 15.036
Os 0.000 0.000 7.345
Os 0.000 0.000 12.432
Os 0.000 0.000 17.509
```

5.
VASP calculation (GGA-PBE) on an optimized crystal structure of PuTcB4.

Structure (extended XYZ):
```
24
Lattice="5.970 0.000 0.000 0.000 11.556 0.000 0.000 0.000 3.571" Properties=species:S:1:pos:R:3 pbc="T T T"
Pu 0.751 1.737 0.000
Pu 2.234 7.515 0.000
Pu 3.736 4.041 0.000
Pu 5.219 9.819 0.000
Tc 0.805 4.735 0.000
Tc 2.181 10.513 0.000
Tc 3.790 1.042 0.000
Tc 5.166 6.820 0.000
B 0.159 7.999 1.785
B 0.682 6.321 1.785
B 0.806 11.189 1.785
B 1.275 9.399 1.785
B 1.711 3.621 1.785
B 2.179 5.412 1.785
B 2.303 0.543 1.785
B 2.827 2.221 1.785
B 3.144 9.335 1.785
B 3.668 11.013 1.785
B 3.791 6.144 1.785
B 4.260 7.934 1.785
B 4.696 2.157 1.785
B 5.164 0.366 1.785
B 5.288 5.235 1.785
B 5.812 3.557 1.785
```

6.
VASP calculation (GGA-PBE) on an optimized crystal structure of LaHfPt.

Structure (extended XYZ):
```
6
Lattice="4.687 0.000 0.000 0.000 4.687 0.000 0.000 0.000 6.937" Properties=species:S:1:pos:R:3 pbc="T T T"
La 1.172 1.172 0.835
La 3.515 3.515 6.102
Hf 1.172 3.515 3.468
Hf 3.515 1.172 3.468
Pt 1.172 1.172 4.805
Pt 3.515 3.515 2.132
```

Results
- E above lowest polymorph: 0.00 eV/f.u.
- Formation energy: -2.57 eV per formula unit

7.
VASP calculation (GGA-PBE) on an optimized crystal structure of NdYNi2Sn4.

Structure (extended XYZ):
```
16
Lattice="4.512 0.000 0.000 0.000 4.383 0.000 0.000 0.000 18.310" Properties=species:S:1:pos:R:3 pbc="T T T"
Nd 0.000 0.000 0.000
Nd 0.000 2.191 9.155
Y 2.256 0.000 14.332
Y 2.256 2.191 5.177
Ni 0.000 0.000 3.874
Ni 0.000 2.191 13.029
Ni 2.256 0.000 10.471
Ni 2.256 2.191 1.316
Sn 0.000 0.000 6.309
Sn 0.000 0.000 11.728
Sn 0.000 2.191 2.573
Sn 0.000 2.191 15.464
Sn 2.256 0.000 2.638
Sn 2.256 0.000 8.008
Sn 2.256 2.191 11.793
Sn 2.256 2.191 17.163
```

8.
VASP calculation (GGA-PBE) on an optimized crystal structure of BeTlCuTc.

Structure (extended XYZ):
```
16
Lattice="6.197 0.000 0.000 0.000 6.197 0.000 0.000 0.000 6.197" Properties=species:S:1:pos:R:3 pbc="T T T"
Be 0.000 0.000 0.000
Be 0.000 3.099 3.099
Be 3.099 0.000 3.099
Be 3.099 3.099 0.000
Tl 0.000 0.000 3.099
Tl 0.000 3.099 0.000
Tl 3.099 0.000 0.000
Tl 3.099 3.099 3.099
Cu 1.549 1.549 4.648
Cu 1.549 4.648 1.549
Cu 4.648 1.549 1.549
Cu 4.648 4.648 4.648
Tc 1.549 1.549 1.549
Tc 1.549 4.648 4.648
Tc 4.648 1.549 4.648
Tc 4.648 4.648 1.549
```

Results
- E above lowest polymorph: 0.16 eV/f.u.

no.,raw total energy (eV/cell)
1,-58.16
2,-27.30
3,-47.32
4,-53.62
5,-218.53
6,-47.01
7,-85.60
8,-70.66